The following is a DFT calculation (PBE) of a geometry-optimized La2Zn7Cd structure.

Values from the calculation:
The calculation puts the uncorrected energy at -22.75 eV for the cell shown. The calculation puts the density of states at the Fermi level at 7.2 states/eV per cell. The value obtained for the energy of formation is -0.31 eV per atom.

Structure (CIF):
```
data_La2Zn7Cd
_cell_length_a 4.425
_cell_length_b 4.425
_cell_length_c 10.530
_cell_angle_alpha 90.00
_cell_angle_beta 90.00
_cell_angle_gamma 90.00
_space_group_name_H-M_alt 'P -4 m 2'
_space_group_IT_number 115
_space_group_name_Hall 'P -4 -2'
loop_
_atom_site_label
_atom_site_fract_x
_atom_site_fract_y
_atom_site_fract_z
_atom_site_occupancy
La1 0.000 0.500 0.239 1
Zn1 0.000 0.000 0.000 1
Zn2 0.000 0.500 0.644 1
Zn3 0.000 0.500 0.877 1
Zn4 0.500 0.500 0.000 1
Zn5 0.500 0.500 0.500 1
Cd1 0.000 0.000 0.500 1
```

---

The following is a DFT calculation (PBE) of a geometry-optimized Be2InOs structure.

Values from the calculation:
The calculation puts the uncorrected energy at -41.08 eV for the cell shown. The calculation puts the density of states at the Fermi level at 3.5 states/eV per cell. The value obtained for the energy of formation is 0.22 eV per atom.

Structure (CIF):
```
data_Be2InOs
_cell_length_a 3.568
_cell_length_b 3.568
_cell_length_c 8.236
_cell_angle_alpha 90.00
_cell_angle_beta 90.00
_cell_angle_gamma 90.00
_space_group_name_H-M_alt 'I -4 m 2'
_space_group_IT_number 119
_space_group_name_Hall 'I -4 -2'
loop_
_atom_site_label
_atom_site_fract_x
_atom_site_fract_y
_atom_site_fract_z
_atom_site_occupancy
Be1 0.000 0.000 0.000 1
Be2 0.000 0.500 0.250 1
In1 0.000 0.500 0.750 1
Os1 0.000 0.000 0.500 1
```

---

The following is a DFT calculation (PBE) of a geometry-optimized Ce4Hg3Au4 structure.

Values from the calculation:
The calculation puts the uncorrected energy at -83.52 eV for the cell shown. The calculation puts the density of states at the Fermi level at 54.5 states/eV per cell. The value obtained for the energy of formation is -0.36 eV per atom.

Structure (CIF):
```
data_Ce4Hg3Au4
_cell_length_a 4.420
_cell_length_b 7.691
_cell_length_c 17.108
_cell_angle_alpha 90.00
_cell_angle_beta 90.00
_cell_angle_gamma 90.00
_space_group_name_H-M_alt 'I m m m'
_space_group_IT_number 71
_space_group_name_Hall '-I 2 2'
loop_
_atom_site_label
_atom_site_fract_x
_atom_site_fract_y
_atom_site_fract_z
_atom_site_occupancy
Ce1 0.000 0.000 0.181 1
Ce2 0.000 0.190 0.500 1
Hg1 0.000 0.000 0.000 1
Hg2 0.000 0.500 0.118 1
Au1 0.000 0.235 0.322 1
```

---

The following is a DFT calculation (PBE) of a geometry-optimized Tb2Pr4DyEr structure.

Values from the calculation:
The calculation puts the uncorrected energy at -37.41 eV for the cell shown. The calculation puts the density of states at the Fermi level at 10.4 states/eV per cell. The value obtained for the energy of formation is 0.02 eV per atom.

Structure (CIF):
```
data_Tb2Pr4DyEr
_cell_length_a 5.156
_cell_length_b 5.186
_cell_length_c 10.092
_cell_angle_alpha 90.00
_cell_angle_beta 90.00
_cell_angle_gamma 90.00
_space_group_name_H-M_alt 'P m m m'
_space_group_IT_number 47
_space_group_name_Hall '-P 2 2'
loop_
_atom_site_label
_atom_site_fract_x
_atom_site_fract_y
_atom_site_fract_z
_atom_site_occupancy
Tb1 0.000 0.000 0.000 1
Tb2 0.500 0.500 0.500 1
Pr1 0.000 0.500 0.249 1
Pr2 0.500 0.000 0.250 1
Dy1 0.000 0.000 0.500 1
Er1 0.500 0.500 0.000 1
```

---

The following is a DFT calculation (PBE) of a geometry-optimized VRe3 structure.

Values from the calculation:
The calculation puts the energy above the most stable polymorph in this dataset at 585 meV/atom. The calculation puts the uncorrected energy at -44.46 eV for the cell shown. The calculation puts the density of states at the Fermi level at 4.4 states/eV per cell. The value obtained for the energy of formation is 0.50 eV per atom.

Structure (CIF):
```
data_VRe3
_cell_length_a 2.856
_cell_length_b 2.967
_cell_length_c 7.542
_cell_angle_alpha 90.00
_cell_angle_beta 90.00
_cell_angle_gamma 90.00
_space_group_name_H-M_alt 'P m m 2'
_space_group_IT_number 25
_space_group_name_Hall 'P 2 -2'
loop_
_atom_site_label
_atom_site_fract_x
_atom_site_fract_y
_atom_site_fract_z
_atom_site_occupancy
V1 0.000 0.000 0.000 1
Re1 0.000 0.500 0.501 1
Re2 0.500 0.000 0.718 1
Re3 0.500 0.500 0.206 1
```

---

The following is a DFT calculation (PBE) of a geometry-optimized Ba2Tl2Bi3O10 structure.

Values from the calculation:
The calculation puts the uncorrected energy at -92.03 eV for the cell shown. The calculation puts the density of states at the Fermi level at 4.0 states/eV per cell.

Structure (CIF):
```
data_Ba2Tl2Bi3O10
_cell_length_a 3.898
_cell_length_b 3.920
_cell_length_c 21.005
_cell_angle_alpha 92.97
_cell_angle_beta 92.27
_cell_angle_gamma 90.00
_space_group_name_H-M_alt 'P 1'
_space_group_IT_number 1
_space_group_name_Hall 'P 1'
loop_
_atom_site_label
_atom_site_fract_x
_atom_site_fract_y
_atom_site_fract_z
_atom_site_occupancy
Ba1 0.000 0.000 0.000 1
Ba2 0.417 0.391 0.608 1
Tl1 0.470 0.448 0.859 1
Tl2 0.947 0.917 0.749 1
Bi1 0.067 0.308 0.305 1
Bi2 0.530 0.545 0.139 1
Bi3 0.880 0.852 0.469 1
O1 0.019 0.524 0.089 1
O2 0.056 0.797 0.257 1
O3 0.398 0.865 0.519 1
O4 0.449 0.514 0.761 1
O5 0.490 0.488 0.955 1
O6 0.519 0.024 0.090 1
O7 0.576 0.322 0.353 1
O8 0.898 0.365 0.519 1
O9 0.926 0.903 0.653 1
O10 0.967 0.038 0.847 1
```

---

The following is a DFT calculation (PBE) of a geometry-optimized AgPb2 structure.

Values from the calculation:
The calculation puts the uncorrected energy at -9.98 eV for the cell shown. The calculation puts the density of states at the Fermi level at 1.4 states/eV per cell. The value obtained for the energy of formation is 0.09 eV per atom.

Structure (CIF):
```
data_AgPb2
_cell_length_a 3.4879
_cell_length_b 3.4879
_cell_length_c 7.6839
_cell_angle_alpha 90.00
_cell_angle_beta 90.00
_cell_angle_gamma 120.00
_space_group_name_H-M_alt 'P -3 m 1'
_space_group_IT_number 164
_space_group_name_Hall '-P 3 2"'
loop_
_atom_site_label
_atom_site_fract_x
_atom_site_fract_y
_atom_site_fract_z
_atom_site_occupancy
Ag1 0.0000 0.0000 0.0000 1
Pb1 0.3333 0.6667 0.6893 1
```

---

The following is a DFT calculation (PBE) of a geometry-optimized NaLiZnP2O7 structure.

Values from the calculation:
The calculation puts the uncorrected energy at -304.80 eV for the cell shown. The calculation puts the density of states at the Fermi level at 0.0 states/eV per cell.

Structure (CIF):
```
data_NaLiZnP2O7
_cell_length_a 7.786
_cell_length_b 12.588
_cell_length_c 6.337
_cell_angle_alpha 90.00
_cell_angle_beta 90.00
_cell_angle_gamma 90.00
_space_group_name_H-M_alt 'C 2 2 21'
_space_group_IT_number 20
_space_group_name_Hall 'C 2c 2'
loop_
_atom_site_label
_atom_site_fract_x
_atom_site_fract_y
_atom_site_fract_z
_atom_site_occupancy
Na1 0.247 0.000 0.000 1
Li1 0.000 0.285 0.250 1
Zn1 0.000 0.283 0.750 1
P1 0.199 0.116 0.506 1
O1 0.046 0.195 0.498 1
O2 0.100 0.000 0.500 1
O3 0.196 0.379 0.800 1
O4 0.199 0.377 0.208 1
```

---

The following is a DFT calculation (PBE) of a geometry-optimized HgRh3 structure.

Values from the calculation:
The calculation puts the uncorrected energy at -43.24 eV for the cell shown. The calculation puts the density of states at the Fermi level at 10.0 states/eV per cell. The value obtained for the energy of formation is 0.18 eV per atom.

Structure (CIF):
```
data_HgRh3
_cell_length_a 9.225
_cell_length_b 2.830
_cell_length_c 4.910
_cell_angle_alpha 90.00
_cell_angle_beta 100.41
_cell_angle_gamma 90.00
_space_group_name_H-M_alt 'C 1 2/m 1'
_space_group_IT_number 12
_space_group_name_Hall '-C 2y'
loop_
_atom_site_label
_atom_site_fract_x
_atom_site_fract_y
_atom_site_fract_z
_atom_site_occupancy
Hg1 0.000 0.000 0.000 1
Rh1 0.000 0.500 0.500 1
Rh2 0.242 0.000 0.729 1
```

---

The following is a DFT calculation (PBE) of a geometry-optimized TaCoB3 structure.

Values from the calculation:
The calculation puts the uncorrected energy at -30.21 eV for the cell shown. The calculation puts the density of states at the Fermi level at 2.3 states/eV per cell. The value obtained for the energy of formation is 1.76 eV per atom.

Structure (CIF):
```
data_TaCoB3
_cell_length_a 4.198
_cell_length_b 4.198
_cell_length_c 4.198
_cell_angle_alpha 90.00
_cell_angle_beta 90.00
_cell_angle_gamma 90.00
_space_group_name_H-M_alt 'P m -3 m'
_space_group_IT_number 221
_space_group_name_Hall '-P 4 2 3'
loop_
_atom_site_label
_atom_site_fract_x
_atom_site_fract_y
_atom_site_fract_z
_atom_site_occupancy
Ta1 0.000 0.000 0.000 1
Co1 0.500 0.500 0.500 1
B1 0.000 0.000 0.500 1
```

---

The following is a DFT calculation (PBE) of a geometry-optimized Cs2CaPdO4 structure.

Values from the calculation:
The calculation puts the uncorrected energy at -304.01 eV for the cell shown. The calculation puts the density of states at the Fermi level at 37.0 states/eV per cell.

Structure (CIF):
```
data_Cs2CaPdO4
_cell_length_a 6.098
_cell_length_b 13.932
_cell_length_c 22.909
_cell_angle_alpha 90.00
_cell_angle_beta 90.00
_cell_angle_gamma 90.00
_space_group_name_H-M_alt 'F d d d'
_space_group_IT_number 70
loop_
_space_group_symop_operation_xyz
'x,y,z'
'-x,-y,-z'
'-x+1/4,-y+1/4,z'
'x+1/4,y+1/4,-z'
'x,-y+1/4,-z+1/4'
'-x,y+1/4,z+1/4'
'-x+1/4,y,-z+1/4'
'x+1/4,-y,z+1/4'
'x,y+1/2,z+1/2'
'-x,-y+1/2,-z+1/2'
'-x+1/4,-y+3/4,z+1/2'
'x+1/4,y+3/4,-z+1/2'
'x,-y+3/4,-z+3/4'
'-x,y+3/4,z+3/4'
'-x+1/4,y+1/2,-z+3/4'
'x+1/4,-y+1/2,z+3/4'
'x+1/2,y,z+1/2'
'-x+1/2,-y,-z+1/2'
'-x+3/4,-y+1/4,z+1/2'
'x+3/4,y+1/4,-z+1/2'
'x+1/2,-y+1/4,-z+3/4'
'-x+1/2,y+1/4,z+3/4'
'-x+3/4,y,-z+3/4'
'x+3/4,-y,z+3/4'
'x+1/2,y+1/2,z'
'-x+1/2,-y+1/2,-z'
'-x+3/4,-y+3/4,z'
'x+3/4,y+3/4,-z'
'x+1/2,-y+3/4,-z+1/4'
'-x+1/2,y+3/4,z+1/4'
'-x+3/4,y+1/2,-z+1/4'
'x+3/4,-y+1/2,z+1/4'
loop_
_atom_site_label
_atom_site_fract_x
_atom_site_fract_y
_atom_site_fract_z
_atom_site_occupancy
Cs1 0.125 0.125 0.311 1
Ca1 0.125 0.125 0.125 1
Pd1 0.125 0.125 0.625 1
O1 0.099 0.276 0.858 1
```

---

The following is a DFT calculation (PBE) of a geometry-optimized SiSn4Mo2 structure.

Values from the calculation:
The calculation puts the uncorrected energy at -73.43 eV for the cell shown. The calculation puts the density of states at the Fermi level at 15.7 states/eV per cell.

Structure (CIF):
```
data_SiSn4Mo2
_cell_length_a 5.346
_cell_length_b 5.346
_cell_length_c 13.138
_cell_angle_alpha 90.00
_cell_angle_beta 90.00
_cell_angle_gamma 90.00
_space_group_name_H-M_alt 'I 4/m m m'
_space_group_IT_number 139
_space_group_name_Hall '-I 4 2'
loop_
_atom_site_label
_atom_site_fract_x
_atom_site_fract_y
_atom_site_fract_z
_atom_site_occupancy
Si1 0.000 0.000 0.000 1
Sn1 0.000 0.000 0.199 1
Sn2 0.000 0.500 0.000 1
Mo1 0.000 0.000 0.411 1
```